Entry 1:
Computed, not measured: a geometry-optimized MgGeP2Cl structure at the PBE level of DFT.

Properties
ΔE_f (raw) = 0.353 eV per atom
Total magnetic moment = 0.00 μB/cell
Offset from the most stable computed form = 0.000 eV per atom

a b c (Å): 4.738 4.738 4.985
angles (deg): 90.00 90.00 90.00
Space group P4/mmm (No. 123)
Asymmetric unit:
Mg  0.000  0.000  0.000 [1 per cell]
Ge  0.500  0.500  0.500 [1 per cell]
P  0.000  0.500  0.500 [2 per cell]
Cl  0.500  0.500  0.000 [1 per cell]

=====

Entry 2:
Computed, not measured: a geometry-optimized MgGeP2Cl structure at the PBE level of DFT.

Properties
ΔE_f (raw) = 0.495 eV per atom
Total magnetic moment = 0.01 μB/cell
Offset from the most stable computed form = 0.141 eV per atom

a b c (Å): 4.892 4.892 4.755
angles (deg): 90.00 90.00 90.00
Space group P4/mmm (No. 123)
Asymmetric unit:
Mg  0.000  0.000  0.000 [1 per cell]
Ge  0.500  0.500  0.500 [1 per cell]
P  0.000  0.500  0.000 [2 per cell]
Cl  0.000  0.000  0.500 [1 per cell]

=====

Entry 3:
Computed, not measured: a geometry-optimized MgGe2PbCl8 structure at the PBE level of DFT.

Properties
ΔE_f (raw) = -1.116 eV per atom
Total magnetic moment = 0.00 μB/cell

a b c (Å): 6.226 6.693 8.279
angles (deg): 91.11 90.02 92.95
Space group P-1 (No. 2)
Asymmetric unit:
Mg  0.000  0.000  0.000 [1 per cell]
Ge  0.462  0.550  0.767 [2 per cell]
Pb  0.000  0.000  0.500 [1 per cell]
Cl  0.201  0.183  0.785 [2 per cell]
Cl  0.242  0.691  0.969 [2 per cell]
Cl  0.256  0.138  0.224 [2 per cell]
Cl  0.276  0.661  0.534 [2 per cell]

=====

Entry 4:
Computed, not measured: a geometry-optimized MgGeRhCl2 structure at the PBE level of DFT.

Properties
ΔE_f (raw) = 0.054 eV per atom
Total magnetic moment = 0.93 μB/cell

a b c (Å): 4.501 4.501 5.867
angles (deg): 90.00 90.00 90.00
Space group P4/mmm (No. 123)
Asymmetric unit:
Mg  0.000  0.000  0.000 [1 per cell]
Ge  0.500  0.500  0.500 [1 per cell]
Rh  0.000  0.000  0.500 [1 per cell]
Cl  0.000  0.500  0.000 [2 per cell]

=====

Entry 5:
Computed, not measured: a geometry-optimized MgGeSCl2 structure at the PBE level of DFT.

Properties
ΔE_f (raw) = -0.622 eV per atom
Total magnetic moment = 0.00 μB/cell
Offset from the most stable computed form = 0.000 eV per atom

a b c (Å): 4.677 4.677 5.204
angles (deg): 90.00 90.00 90.00
Space group P4/mmm (No. 123)
Asymmetric unit:
Mg  0.000  0.000  0.000 [1 per cell]
Ge  0.500  0.500  0.500 [1 per cell]
S  0.000  0.000  0.500 [1 per cell]
Cl  0.000  0.500  0.000 [2 per cell]

=====

Entry 6:
Computed, not measured: a geometry-optimized MgGeS2Cl structure at the PBE level of DFT.

Properties
ΔE_f (raw) = -0.215 eV per atom
Total magnetic moment = 0.00 μB/cell
Offset from the most stable computed form = 0.000 eV per atom

a b c (Å): 4.797 4.797 4.792
angles (deg): 90.00 90.00 90.00
Space group P4/mmm (No. 123)
Asymmetric unit:
Mg  0.000  0.000  0.000 [1 per cell]
Ge  0.500  0.500  0.500 [1 per cell]
S  0.000  0.500  0.500 [2 per cell]
Cl  0.500  0.500  0.000 [1 per cell]

=====

Entry 7:
Computed, not measured: a geometry-optimized MgGe2SbCl structure at the PBE level of DFT.

Properties
ΔE_f (raw) = 0.394 eV per atom
Total magnetic moment = 0.00 μB/cell

a b c (Å): 5.160 5.160 4.855
angles (deg): 90.00 90.00 90.00
Space group P4/mmm (No. 123)
Asymmetric unit:
Mg  0.000  0.000  0.000 [1 per cell]
Ge  0.000  0.500  0.500 [2 per cell]
Sb  0.500  0.500  0.000 [1 per cell]
Cl  0.000  0.000  0.500 [1 per cell]

=====

Entry 8:
Computed, not measured: a geometry-optimized MgGeTe2Cl structure at the PBE level of DFT.

Properties
ΔE_f (raw) = 0.305 eV per atom
Total magnetic moment = 0.00 μB/cell

a b c (Å): 5.328 5.328 5.404
angles (deg): 90.00 90.00 90.00
Space group P4/mmm (No. 123)
Asymmetric unit:
Mg  0.000  0.000  0.000 [1 per cell]
Ge  0.000  0.000  0.500 [1 per cell]
Te  0.000  0.500  0.000 [2 per cell]
Cl  0.500  0.500  0.500 [1 per cell]

=====

Entry 9:
Computed, not measured: a geometry-optimized MgTl2GeCl6 structure at the PBE level of DFT.

Properties
ΔE_f (raw) = -1.185 eV per atom
Total magnetic moment = 0.00 μB/cell

a b c (Å): 7.222 7.222 7.227
angles (deg): 60.88 60.81 60.91
Space group P1 (No. 1)
Asymmetric unit:
Mg  0.000  0.000  0.000 [1 per cell]
Tl  0.249  0.248  0.247 [1 per cell]
Tl  0.753  0.755  0.755 [1 per cell]
Ge  0.500  0.500  0.500 [1 per cell]
Cl  0.186  0.299  0.761 [1 per cell]
Cl  0.243  0.813  0.701 [1 per cell]
Cl  0.297  0.760  0.189 [1 per cell]
Cl  0.703  0.238  0.811 [1 per cell]
Cl  0.756  0.187  0.299 [1 per cell]
Cl  0.814  0.700  0.237 [1 per cell]

=====

Entry 10:
Computed, not measured: a geometry-optimized Y2MgGeCl structure at the PBE level of DFT.

Properties
ΔE_f (raw) = 0.176 eV per atom
Total magnetic moment = 0.00 μB/cell

a b c (Å): 5.663 5.663 4.662
angles (deg): 90.00 90.00 90.00
Space group P4/mmm (No. 123)
Asymmetric unit:
Y  0.000  0.500  0.000 [2 per cell]
Mg  0.000  0.000  0.000 [1 per cell]
Ge  0.000  0.000  0.500 [1 per cell]
Cl  0.500  0.500  0.500 [1 per cell]

=====

Entry 11:
Computed, not measured: a geometry-optimized MnGeCl3 structure at the PBE level of DFT.

Properties
ΔE_f (raw) = -0.189 eV per atom
Total magnetic moment = 5.99 μB/cell
Offset from the most stable computed form = 0.177 eV per atom

a b c (Å): 5.197 5.197 5.197
angles (deg): 90.00 90.00 90.00
Space group Pm-3m (No. 221)
Asymmetric unit:
Mn  0.000  0.000  0.000 [1 per cell]
Ge  0.500  0.500  0.500 [1 per cell]
Cl  0.000  0.500  0.500 [3 per cell]

=====

Entry 12:
Computed, not measured: a geometry-optimized MnGe5Cl12 structure at the PBE level of DFT.

Properties
ΔE_f (raw) = -0.814 eV per atom
Total magnetic moment = 10.00 μB/cell

a b c (Å): 6.761 11.711 13.269
angles (deg): 90.00 90.16 90.00
Space group C2/m (No. 12)
Asymmetric unit:
Mn  0.000  0.000  0.000 [2 per cell]
Ge  0.000  0.167  0.500 [4 per cell]
Ge  0.000  0.334  0.000 [4 per cell]
Ge  0.000  0.500  0.500 [2 per cell]
Cl  0.159  0.157  0.106 [8 per cell]
Cl  0.166  0.000  0.388 [4 per cell]
Cl  0.166  0.333  0.388 [8 per cell]
Cl  0.180  0.500  0.107 [4 per cell]

=====

Entry 13:
Computed, not measured: a geometry-optimized Mn2GeCl structure at the PBE level of DFT.

Properties
ΔE_f (raw) = 0.674 eV per atom
Total magnetic moment = 0.00 μB/cell

a b c (Å): 5.910 5.910 5.910
angles (deg): 90.00 90.00 90.00
Space group Fm-3m (No. 225)
Asymmetric unit:
Mn  0.250  0.250  0.250 [8 per cell]
Ge  0.000  0.000  0.000 [4 per cell]
Cl  0.000  0.000  0.500 [4 per cell]

=====

Entry 14:
Computed, not measured: a geometry-optimized Mn2GeCl6 structure at the PBE level of DFT.

Properties
ΔE_f (raw) = -0.957 eV per atom
Total magnetic moment = 40.00 μB/cell

a b c (Å): 12.943 11.710 6.677
angles (deg): 90.00 98.10 90.00
Space group C2/c (No. 15)
Asymmetric unit:
Mn  0.244  0.098  0.049 [8 per cell]
Ge  0.000  0.258  0.750 [4 per cell]
Cl  0.120  0.401  0.648 [8 per cell]
Cl  0.132  0.264  0.104 [8 per cell]
Cl  0.156  0.055  0.709 [8 per cell]

=====

Entry 15:
Computed, not measured: a geometry-optimized MnGeCl3 structure at the PBE level of DFT.

Properties
ΔE_f (raw) = -0.366 eV per atom
Total magnetic moment = 6.00 μB/cell
Offset from the most stable computed form = 0.000 eV per atom

a b c (Å): 4.961 4.961 4.961
angles (deg): 90.00 90.00 90.00
Space group Pm-3m (No. 221)
Asymmetric unit:
Mn  0.000  0.000  0.000 [1 per cell]
Ge  0.500  0.500  0.500 [1 per cell]
Cl  0.000  0.000  0.500 [3 per cell]

=====

Entry 16:
Computed, not measured: a geometry-optimized MnGeCl2 structure at the PBE level of DFT.

Properties
ΔE_f (raw) = -0.214 eV per atom
Total magnetic moment = 12.05 μB/cell
Offset from the most stable computed form = 0.000 eV per atom

a b c (Å): 8.888 8.888 5.000
angles (deg): 90.00 90.00 90.00
Space group I-42d (No. 122)
Asymmetric unit:
Mn  0.000  0.000  0.000 [4 per cell]
Ge  0.000  0.000  0.500 [4 per cell]
Cl  0.094  0.250  0.125 [8 per cell]

=====

Entry 17:
Computed, not measured: a geometry-optimized MnGeCl2 structure at the PBE level of DFT.

Properties
ΔE_f (raw) = 0.125 eV per atom
Total magnetic moment = 15.31 μB/cell
Offset from the most stable computed form = 0.339 eV per atom

a b c (Å): 6.767 6.767 6.767
angles (deg): 90.00 90.00 90.00
Space group Fm-3m (No. 225)
Asymmetric unit:
Mn  0.000  0.000  0.000 [4 per cell]
Ge  0.000  0.000  0.500 [4 per cell]
Cl  0.250  0.250  0.250 [8 per cell]

=====

Entry 18:
Computed, not measured: a geometry-optimized MnGe3Cl structure at the PBE level of DFT.

Properties
ΔE_f (raw) = 0.940 eV per atom
Total magnetic moment = 4.13 μB/cell
Offset from the most stable computed form = 1.118 eV per atom

a b c (Å): 4.932 4.932 4.932
angles (deg): 90.00 90.00 90.00
Space group Pm-3m (No. 221)
Asymmetric unit:
Mn  0.000  0.000  0.000 [1 per cell]
Ge  0.000  0.500  0.500 [3 per cell]
Cl  0.500  0.500  0.500 [1 per cell]

=====

Entry 19:
Computed, not measured: a geometry-optimized MnGe3Cl structure at the PBE level of DFT.

Properties
ΔE_f (raw) = -0.178 eV per atom
Total magnetic moment = 0.00 μB/cell
Offset from the most stable computed form = 0.000 eV per atom

a b c (Å): 4.668 4.668 4.668
angles (deg): 90.00 90.00 90.00
Space group Pm-3m (No. 221)
Asymmetric unit:
Mn  0.000  0.000  0.000 [1 per cell]
Ge  0.000  0.000  0.500 [3 per cell]
Cl  0.500  0.500  0.500 [1 per cell]

=====

Entry 20:
Computed, not measured: a geometry-optimized MnGe3Cl8 structure at the PBE level of DFT.

Properties
ΔE_f (raw) = -0.836 eV per atom
Total magnetic moment = 5.00 μB/cell

a b c (Å): 5.519 8.058 8.956
angles (deg): 108.65 99.02 102.90
Space group P1 (No. 1)
Asymmetric unit:
Mn  0.000  0.000  0.000 [1 per cell]
Ge  0.356  0.869  0.643 [1 per cell]
Ge  0.423  0.357  0.452 [1 per cell]
Ge  0.920  0.532  0.171 [1 per cell]
Cl  0.025  0.118  0.294 [1 per cell]
Cl  0.076  0.315  0.990 [1 per cell]
Cl  0.189  0.530  0.615 [1 per cell]
Cl  0.339  0.728  0.308 [1 per cell]
Cl  0.423  0.989  0.957 [1 per cell]
Cl  0.527  0.224  0.635 [1 per cell]
Cl  0.797  0.867  0.692 [1 per cell]
Cl  0.835  0.677  0.983 [1 per cell]